A geometry-optimized Pm2Nd5Tl4 structure, computed with PBE.

Lattice parameters (Å, degrees): 3.5581 8.8448 10.7853 84.24 90.00 90.00
Element x y z (fractional)
Pm  0.0000  0.9135  0.6377
Pm  0.0000  0.0865  0.3623
Nd  0.0000  0.4646  0.3339
Nd  0.0000  0.8394  0.1413
Nd  0.0000  0.5000  0.0000
Nd  0.0000  0.1606  0.8587
Nd  0.0000  0.5354  0.6661
Tl  0.5000  0.2460  0.5797
Tl  0.5000  0.7980  0.8807
Tl  0.5000  0.7540  0.4203
Tl  0.5000  0.2020  0.1193

Results
Crystal system   monoclinic
Energy above the lowest structure with this stoichiometry   42 meV/atom
Size of the total moment   0.000 μB/atom
Symmetry   No. 10
Formation energy   -0.20 eV/atom

A geometry-optimized PmNd2Tl9 structure, computed with PBE.

Lattice parameters (Å, degrees): 4.8293 4.8293 14.4907 90.00 90.00 90.00
Element x y z (fractional)
Pm  0.0000  0.0000  0.0000
Nd  0.0000  0.0000  0.3328
Nd  0.0000  0.0000  0.6672
Tl  0.5000  0.5000  0.0000
Tl  0.5000  0.5000  0.3331
Tl  0.5000  0.5000  0.6669
Tl  0.5000  0.0000  0.1658
Tl  0.5000  0.0000  0.5000
Tl  0.5000  0.0000  0.8342
Tl  0.0000  0.5000  0.1658
Tl  0.0000  0.5000  0.5000
Tl  0.0000  0.5000  0.8342

Results
Crystal system   tetragonal
Size of the total moment   0.000 μB/atom
Symmetry   No. 123
Formation energy   -0.31 eV/atom